Entry from the Alexandria database: an optimized crystal structure of ScInPb2 (GGA-PBE).

Unit cell a=4.0620 b=4.0620 c=6.5267 alpha=90.00 beta=90.00 gamma=90.00
With the nearest neighbours (Å) after each atom.
Sites, in units of the cell vectors:
Pb (0.0000, 0.0000, 0.7589)  2 Pb 3.15-3.38, 4 Sc 3.28, 4 In 3.33
Pb (0.0000, 0.0000, 0.2411)  2 Pb 3.15-3.38, 4 Sc 3.28, 4 In 3.33
Sc (0.5000, 0.5000, 0.0000)  2 In 3.26, 8 Pb 3.28
In (0.5000, 0.5000, 0.5000)  2 Sc 3.26, 8 Pb 3.33

Values from the calculation:
DOS at the Fermi energy: 1.12 states/eV per atom
calculated formation energy: -0.116 eV/atom
M_tot: 0.0 μB/cell
symmetry: P4/mmm, No. 123